This record from OQMD describes a geometry-optimized TaCoNO structure. The functional is PBE+U.

abc: 3.228 3.228 7.412
angles: 90.00 90.00 90.00
Sites, in units of the cell vectors:
Ta: 0.250 0.250 0.185
Ta: 0.750 0.750 0.815
Co: 0.250 0.750 0.500
Co: 0.750 0.250 0.500
N: 0.250 0.250 0.710
N: 0.750 0.750 0.290
O: 0.250 0.750 0.000
O: 0.750 0.250 0.000

Computed properties:
The energy above the lowest structure with this stoichiometry is 0.377 eV/atom. The mass density is 11.6 g cm⁻³. Its calculated volume is 77 Å³ per cell.